Entry 1:
Compound: Tl5SnPb
Source: Alexandria
Functional: PBE
Structure: relaxed

Lattice parameters (Å, degrees): 11.917 6.513 11.918 90.00 104.82 90.00
Space group C2/c (No. 15)
Unique sites:
Tl: 0.000 0.201 0.250 (multiplicity 4)
Tl: 0.152 0.052 0.530 (multiplicity 8)
Tl: 0.236 0.409 0.185 (multiplicity 8)
Sn: 0.000 0.500 0.000 (multiplicity 4)
Pb: 0.000 0.297 0.750 (multiplicity 4)

Output
The energy above the most stable polymorph in this dataset is 0.0 meV per atom. Its total energy is -2.724 eV per atom. The calculation puts the energy of formation at 0.07 eV/atom.

---

Entry 2:
Compound: Tl2SnPb8
Source: Alexandria
Functional: PBE
Structure: relaxed

Lattice parameters (Å, degrees): 5.003 5.003 14.131 90.00 90.00 90.00
Space group P4/mmm (No. 123)
Unique sites:
Tl: 0.000 0.000 0.175 (multiplicity 2)
Sn: 0.000 0.000 0.500 (multiplicity 1)
Pb: 0.000 0.500 0.000 (multiplicity 2)
Pb: 0.000 0.500 0.352 (multiplicity 4)
Pb: 0.500 0.500 0.179 (multiplicity 2)

Output
The energy above the most stable polymorph in this dataset is 11.8 meV per atom. Its total energy is -3.472 eV per atom. The calculation puts the energy of formation at 0.02 eV/atom.

---

Entry 3:
Compound: Tl2SnPb6
Source: Alexandria
Functional: PBE
Structure: relaxed

Lattice parameters (Å, degrees): 12.442 14.339 6.418 90.00 96.52 90.00
Space group C2/c (No. 15)
Unique sites:
Tl: 0.126 0.018 0.393 (multiplicity 8)
Sn: 0.000 0.409 0.250 (multiplicity 4)
Pb: 0.029 0.209 0.004 (multiplicity 8)
Pb: 0.140 0.397 0.748 (multiplicity 8)
Pb: 0.244 0.319 0.276 (multiplicity 8)

Output
The energy above the most stable polymorph in this dataset is 24.7 meV per atom. Its total energy is -3.386 eV per atom. The calculation puts the energy of formation at 0.06 eV/atom.

---

Entry 4:
Compound: Tl3Sn2Pb3
Source: Alexandria
Functional: PBE
Structure: relaxed

Lattice parameters (Å, degrees): 20.687 4.904 4.896 90.00 103.11 90.00
Space group C2/m (No. 12)
Unique sites:
Tl: 0.000 0.000 0.000 (multiplicity 2)
Tl: 0.125 0.000 0.625 (multiplicity 4)
Sn: 0.249 0.000 0.249 (multiplicity 4)
Pb: 0.000 0.500 0.500 (multiplicity 2)
Pb: 0.132 0.500 0.131 (multiplicity 4)

Output
Its total energy is -3.265 eV per atom. The calculation puts the energy of formation at 0.01 eV/atom.

---

Entry 5:
Compound: Tl3SnPb2
Source: Alexandria
Functional: PBE
Structure: relaxed

Lattice parameters (Å, degrees): 18.524 3.520 12.093 90.00 110.63 90.00
Space group C2/m (No. 12)
Unique sites:
Tl: 0.083 0.000 0.206 (multiplicity 4)
Tl: 0.084 0.500 0.949 (multiplicity 4)
Tl: 0.247 0.500 0.870 (multiplicity 4)
Sn: 0.084 0.000 0.701 (multiplicity 4)
Pb: 0.080 0.500 0.457 (multiplicity 4)
Pb: 0.249 0.000 0.622 (multiplicity 4)

Output
The energy above the most stable polymorph in this dataset is 0.0 meV per atom. Its total energy is -3.084 eV per atom. The calculation puts the energy of formation at 0.00 eV/atom.

---

Entry 6:
Compound: Tl3Sn3Pb8
Source: Alexandria
Functional: PBE
Structure: relaxed

Lattice parameters (Å, degrees): 5.405 12.253 13.604 90.00 90.00 90.00
Space group Immm (No. 71)
Unique sites:
Tl: 0.000 0.000 0.000 (multiplicity 2)
Tl: 0.000 0.000 0.281 (multiplicity 4)
Sn: 0.000 0.142 0.500 (multiplicity 4)
Sn: 0.000 0.500 0.000 (multiplicity 2)
Pb: 0.000 0.282 0.149 (multiplicity 8)
Pb: 0.000 0.368 0.375 (multiplicity 8)

Output
Its total energy is -3.433 eV per atom. The calculation puts the energy of formation at 0.05 eV/atom.

---

Entry 7:
Compound: Tl2Sn6Pb3
Source: Alexandria
Functional: PBE
Structure: relaxed

Lattice parameters (Å, degrees): 8.7009 8.7009 5.4771 90.00 90.00 120.00
Space group P-62m (No. 189)
Unique sites:
Tl: 0.3333 0.6667 0.0000 (multiplicity 2)
Sn: 0.0000 0.2103 0.5000 (multiplicity 3)
Sn: 0.0000 0.7821 0.0000 (multiplicity 3)
Pb: 0.0000 0.5686 0.5000 (multiplicity 3)

Output
Its total energy is -3.497 eV per atom. The calculation puts the energy of formation at 0.13 eV/atom.

---

Entry 8:
Compound: TlSn3Pb
Source: Alexandria
Functional: PBE
Structure: relaxed

Lattice parameters (Å, degrees): 5.861 5.861 5.861 90.00 90.00 90.00
Space group Pm-3m (No. 221)
Unique sites:
Tl: 0.000 0.000 0.000 (multiplicity 1)
Sn: 0.000 0.500 0.500 (multiplicity 3)
Pb: 0.500 0.500 0.500 (multiplicity 1)

Output
The energy above the most stable polymorph in this dataset is 571.5 meV per atom. Its total energy is -3.000 eV per atom. The calculation puts the energy of formation at 0.62 eV/atom.

---

Entry 9:
Compound: Tl2Sn2Pb15
Source: Alexandria
Functional: PBE
Structure: relaxed

Lattice parameters (Å, degrees): 11.0495 11.0495 18.4915 90.00 90.00 120.00
Space group R-3m (No. 166, hexagonal axes)
Unique sites:
Tl: 0.0000 0.0000 0.0887 (multiplicity 6)
Sn: 0.0000 0.0000 0.2651 (multiplicity 6)
Pb: 0.0000 0.3011 0.0000 (multiplicity 18)
Pb: 0.0000 0.5000 0.5000 (multiplicity 9)
Pb: 0.0080 0.5040 0.1352 (multiplicity 18)

Output
Its total energy is -3.472 eV per atom. The calculation puts the energy of formation at 0.13 eV/atom.

---

Entry 10:
Compound: TlSnPb5
Source: Alexandria
Functional: PBE
Structure: relaxed

Lattice parameters (Å, degrees): 11.322 12.793 6.825 90.00 109.93 90.00
Space group C2/c (No. 15)
Unique sites:
Tl: 0.000 0.000 0.000 (multiplicity 4)
Sn: 0.000 0.474 0.250 (multiplicity 4)
Pb: 0.000 0.264 0.750 (multiplicity 4)
Pb: 0.230 0.379 0.123 (multiplicity 8)
Pb: 0.244 0.362 0.627 (multiplicity 8)

Output
Its total energy is -3.468 eV per atom. The calculation puts the energy of formation at 0.09 eV/atom.

---

Entry 11:
Compound: Tl4SnPb4
Source: Alexandria
Functional: PBE
Structure: relaxed

Lattice parameters (Å, degrees): 10.450 10.450 5.123 90.00 90.00 90.00
Space group I4/mmm (No. 139)
Unique sites:
Tl: 0.000 0.329 0.000 (multiplicity 8)
Sn: 0.000 0.000 0.000 (multiplicity 2)
Pb: 0.163 0.163 0.500 (multiplicity 8)

Output
Its total energy is -3.150 eV per atom. The calculation puts the energy of formation at -0.01 eV/atom.

---

Entry 12:
Compound: Tl2Sn5Pb12
Source: Alexandria
Functional: PBE
Structure: relaxed

Lattice parameters (Å, degrees): 17.625 11.529 6.122 90.00 104.68 90.00
Space group C2/m (No. 12)
Unique sites:
Tl: 0.000 0.230 0.000 (multiplicity 4)
Sn: 0.000 0.500 0.500 (multiplicity 2)
Sn: 0.193 0.000 0.878 (multiplicity 4)
Sn: 0.198 0.500 0.577 (multiplicity 4)
Pb: 0.103 0.251 0.614 (multiplicity 8)
Pb: 0.104 0.000 0.313 (multiplicity 4)
Pb: 0.111 0.500 0.024 (multiplicity 4)
Pb: 0.199 0.246 0.204 (multiplicity 8)

Output
Its total energy is -3.588 eV per atom. The calculation puts the energy of formation at 0.06 eV/atom.

---

Question: Which value of energy of formation does entry 5 give?
Answer: 0.00 eV/atom